No. 1
{"formula": "CoHgMo2", "functional": "PBE", "state": "relaxed", "dos_ef_per_ev_cell": 4.38, "e_tot_ev_per_atom": -6.89, "formation_enthalpy_0k_ev_per_atom": 0.38, "lattice": [[3.181, 0.000, 0.000], [0.000, 3.181, 0.000], [0.000, 0.000, 6.284]], "species": ["Co", "Hg", "Mo", "Mo"], "frac_coords": [[0.000, 0.000, 0.466], [0.500, 0.500, 0.731], [0.000, 0.000, 0.036], [0.500, 0.500, 0.267]]}

=====

No. 2
{"formula": "Ga6Ag2Pb", "functional": "PBE", "state": "relaxed", "dos_ef_per_ev_cell": 2.67, "e_tot_ev_per_atom": -3.02, "formation_enthalpy_0k_ev_per_atom": 0.05, "lattice": [[-1.116, -1.327, 3.753], [0.483, -3.914, -1.240], [10.149, 0.267, 3.111]], "species": ["Ga", "Ga", "Ga", "Ga", "Ga", "Ga", "Ag", "Ag", "Pb"], "frac_coords": [[0.000, 0.500, 0.300], [0.500, 0.000, 0.300], [0.000, 0.500, 0.700], [0.500, 0.000, 0.700], [0.500, 0.500, 0.500], [0.000, 0.000, 0.500], [0.500, 0.500, 0.130], [0.500, 0.500, 0.870], [0.000, 0.000, 0.000]]}

=====

No. 3
{"formula": "ZrSn2Pd9", "functional": "PBE", "state": "relaxed", "dos_ef_per_ev_cell": 1.68, "e_tot_ev_per_atom": -5.89, "formation_enthalpy_0k_ev_per_atom": -0.62, "lattice": [[-2.736, -1.285, -2.680], [1.464, -3.752, 0.305], [-7.750, -2.293, 9.011]], "species": ["Zr", "Sn", "Sn", "Pd", "Pd", "Pd", "Pd", "Pd", "Pd", "Pd", "Pd", "Pd"], "frac_coords": [[0.000, 0.000, 0.000], [0.000, 0.000, 0.334], [0.000, 0.000, 0.666], [0.500, 0.500, 0.000], [0.500, 0.500, 0.333], [0.500, 0.500, 0.667], [0.500, 0.000, 0.165], [0.500, 0.000, 0.500], [0.500, 0.000, 0.835], [0.000, 0.500, 0.165], [0.000, 0.500, 0.500], [0.000, 0.500, 0.835]]}

=====

Q: What is the formula in the third record?
A: ZrSn2Pd9